Arrangement w

DFT (PBE) results for a relaxed Ce4ZnIr crystal.

Unit cell a=9.5711 b=9.5711 c=9.5711 alpha=60.00 beta=60.00 gamma=60.00
Fractional positions:
Ce 0.9511 0.9511 0.5489
Ce 0.3969 0.3969 0.3969
Ce 0.9511 0.5489 0.5489
Ir 0.1714 0.6095 0.6095
Ce 0.1844 0.1844 0.8156
Ce 0.8156 0.8156 0.1844
Ce 0.5489 0.9511 0.9511
Ce 0.1844 0.8156 0.8156
Zn 0.1741 0.1741 0.4778
Ce 0.8156 0.1844 0.1844
Ce 0.9511 0.5489 0.9511
Zn 0.4778 0.1741 0.1741
Zn 0.1741 0.1741 0.1741
Ce 0.5489 0.9511 0.5489
Ce 0.8156 0.1844 0.8156
Ce 0.5489 0.5489 0.9511
Ce 0.3969 0.3969 0.8094
Ce 0.1844 0.8156 0.1844
Zn 0.1741 0.4778 0.1741
Ir 0.6095 0.1714 0.6095
Ce 0.8094 0.3969 0.3969
Ce 0.3969 0.8094 0.3969
Ir 0.6095 0.6095 0.6095
Ir 0.6095 0.6095 0.1714

Properties
SG: F-43m
Total magnetization: 16.1 μB per cell


Arrangement x

DFT (PBE) results for a relaxed Ce4ZnIr crystal.

Unit cell a=5.8629 b=8.1266 c=7.5280 alpha=115.12 beta=103.28 gamma=107.21
Fractional positions:
Ce 0.7567 0.6676 0.6056
Ce 0.0213 0.1928 0.8011
Ce 0.6511 0.0621 0.3944
Ir 0.7499 0.9999 0.9997
Ce 0.9787 0.8072 0.1989
Ce 0.3489 0.9379 0.6056
Ce 0.7202 0.3917 0.1989
Zn 0.3575 0.6075 0.2150
Ce 0.2433 0.3324 0.3944
Ce 0.2798 0.6083 0.8011
Zn 0.6425 0.3925 0.7850
Ir 0.2501 0.0001 0.0003

Properties
SG: C2/c
Total magnetization: 0.0 μB per cell


The least stable of them is arrangement w.


Arrangement w

DFT (PBE) results for a relaxed CeZr2Ir crystal.

Unit cell a=3.3483 b=3.3483 c=7.7495 alpha=90.00 beta=90.00 gamma=90.00
Fractional positions:
Zr 0.0000 0.0000 0.7935
Zr 0.0000 0.0000 0.2065
Ir 0.5000 0.5000 0.0000
Ce 0.5000 0.5000 0.5000

Properties
SG: P4/mmm
Total magnetization: 0.0 μB per cell


Arrangement x

DFT (PBE) results for a relaxed CeZr2Ir crystal.

Unit cell a=4.4001 b=4.4001 c=6.4820 alpha=70.16 beta=70.16 gamma=60.00
Fractional positions:
Zr 0.0551 0.0551 0.8346
Ir 0.6743 0.6743 0.9772
Zr 0.2785 0.2785 0.1644
Ce 0.4921 0.4921 0.5238

Properties
SG: R3m
Total magnetization: 1.0 μB per cell


The least stable of them is arrangement x.


Arrangement w

DFT (PBE) results for a relaxed CeZrIr2 crystal.

Unit cell a=4.8108 b=4.8108 c=4.8108 alpha=60.00 beta=60.00 gamma=60.00
Fractional positions:
Zr 0.5000 0.5000 0.5000
Ce 0.0000 0.0000 0.0000
Ir 0.2500 0.2500 0.2500
Ir 0.7500 0.7500 0.7500

Properties
SG: Fm-3m
Total magnetization: 0.5 μB per cell


Arrangement x

DFT (PBE) results for a relaxed CeZrIr2 crystal.

Unit cell a=3.1720 b=3.1720 c=7.6928 alpha=90.00 beta=90.00 gamma=90.00
Fractional positions:
Ir 0.0000 0.0000 0.7798
Ce 0.5000 0.5000 0.5000
Ir 0.0000 0.0000 0.2202
Zr 0.5000 0.5000 0.0000

Properties
SG: P4/mmm
Total magnetization: 0.0 μB per cell


The least stable of them is arrangement w.